# V2CdFeO8 | the Alexandria database | PBE with a Hubbard U | relaxed
data_V2CdFeO8
_symmetry_space_group_name_H-M 'P -3 m 1'
_symmetry_Int_Tables_number 164
_symmetry_space_group_name_Hall '-P 3 2"'
_cell_length_a 5.5876
_cell_length_b 5.5876
_cell_length_c 6.0432
_cell_angle_alpha 90.00
_cell_angle_beta 90.00
_cell_angle_gamma 120.00
loop_
_atom_site_label
_atom_site_fract_x
_atom_site_fract_y
_atom_site_fract_z
V1 0.3333 0.6667 0.2329
Cd1 0.0000 0.0000 0.0000
Fe1 0.0000 0.0000 0.5000
O1 0.1542 0.3083 0.3055
O2 0.3333 0.6667 0.9617
# Uncorrected energy, eV per cell: -77.391
# Total moment, Bohr magnetons per cell: 2.0
# Density, Mg/m³: 4.05